[1]
## Ac8TeN6 (GGA-PBE)

Data for a geometry-optimized Ac8TeN6 structure.

a b c (Å): 7.434 7.434 7.434
angles (deg): 91.69 91.69 91.69
Positions (direct):
Ac1 0.108 0.357 0.799
Ac2 0.201 0.892 0.643
Ac3 0.229 0.229 0.229
Ac4 0.357 0.799 0.108
Ac5 0.643 0.201 0.892
Ac6 0.771 0.771 0.771
Ac7 0.799 0.108 0.357
Ac8 0.892 0.643 0.201
Te1 0.500 0.500 0.500
N1 0.070 0.679 0.896
N2 0.104 0.930 0.321
N3 0.321 0.104 0.930
N4 0.679 0.896 0.070
N5 0.896 0.070 0.679
N6 0.930 0.321 0.104

* formation energy without anion corrections: -1385 kJ/mol of formula units
* DFT total energy: -6.69 eV/atom
* DOS at the Fermi energy: 0.368 states/eV per atom
* ρ: 8.21 g/cm3

[2]
## ScTeSe4 (GGA-PBE)

Data for a geometry-optimized ScTeSe4 structure.

a b c (Å): 6.431 6.431 6.845
angles (deg): 92.06 92.06 35.29
Positions (direct):
Sc1 0.000 0.000 0.000
Te1 0.500 0.500 0.500
Se1 0.133 0.133 0.333
Se2 0.377 0.377 0.152
Se3 0.623 0.623 0.848
Se4 0.867 0.867 0.667

* formation energy without anion corrections: -359 kJ/mol of formula units
* DFT total energy: -4.52 eV/atom
* DOS at the Fermi energy: 0.484 states/eV per atom
* ρ: 4.96 g/cm3

[3]
## LaSmTmCu (GGA-PBE)

Data for a geometry-optimized LaSmTmCu structure.

a b c (Å): 3.551 3.551 8.813
angles (deg): 90.00 90.00 90.00
Positions (direct):
La1 0.000 0.000 0.000
Sm1 0.500 0.500 0.685
Tm1 0.500 0.500 0.306
Cu1 0.000 0.000 0.478

* DFT total energy: -4.64 eV/atom
* energy relative to the elements: -0.35 eV per formula unit
* DOS at the Fermi energy: 0.948 states/eV per atom
* ρ: 7.80 g/cm3

[4]
## KSn2Pd2 (GGA-PBE)

Data for a geometry-optimized KSn2Pd2 structure.

a b c (Å): 6.456 6.456 6.456
angles (deg): 136.94 136.94 62.54
Positions (direct):
K1 0.000 0.000 0.000
Sn1 0.250 0.750 0.500
Sn2 0.750 0.250 0.500
Pd1 0.373 0.373 0.000
Pd2 0.627 0.627 0.000

* DFT total energy: -4.23 eV/atom
* energy relative to the elements: -1.65 eV per formula unit
* energy above the most stable polymorph in this dataset: 89 meV/atom
* DOS at the Fermi energy: 0.446 states/eV per atom
* ρ: 6.56 g/cm3